Entry 1:
# LiNb2GeMo

A geometry-optimized LiNb2GeMo structure (PBE, Alexandria).

Geometry as POSCAR:
```
LiNb2GeMo
1.0
4.846 0.000 0.000
0.000 4.923 0.000
0.000 0.000 4.846
Li Nb Mo Ge
1 2 1 1
Cartesian
2.423 2.461 2.423
2.423 0.000 0.000
0.000 0.000 2.423
0.000 0.000 0.000
0.000 2.461 0.000
```

ΔH_f (0 K), eV/atom: 0.997

=====

Entry 2:
# LiNbGeMo2

A geometry-optimized LiNbGeMo2 structure (PBE, Alexandria).

Geometry as POSCAR:
```
LiNbGeMo2
1.0
-3.442 0.122 3.136
-1.368 -4.437 -1.330
2.847 -1.836 3.196
Mo Ge Nb Li
2 1 1 1
Cartesian
1.424 -0.918 1.598
-1.721 0.061 1.568
0.000 0.000 0.000
-0.684 -2.219 -0.665
-0.981 -3.076 2.501
```

ΔH_f (0 K), eV/atom: 1.265